! Ac2YGa3Rh4 | Alexandria via LeMat-Bulk | PBE | optimized geometry; values from VASP
! Mass density   9.1 g cm⁻³
! DFT formation energy   -0.792 eV per atom
! Space-group type   P-4m2 (115)
! Calculated volume   21.292 Å³ per atom
! Total DFT energy (no corrections)   -61.08 eV/f.u.
&SYSTEM
  ibrav = 0, nat = 10, ntyp = 4
/
ATOMIC_SPECIES
Ac 227.00 Ac.upf
Y 88.91 Y.upf
Ga 69.72 Ga.upf
Rh 102.91 Rh.upf
CELL_PARAMETERS angstrom
4.377 0.000 0.000
0.000 4.377 0.000
0.000 0.000 11.112
ATOMIC_POSITIONS crystal
Ac 0.000 0.500 0.226
Ac 0.500 0.000 0.774
Y 0.000 0.000 0.500
Ga 0.000 0.500 0.888
Ga 0.500 0.000 0.112
Ga 0.500 0.500 0.500
Rh 0.000 0.000 0.000
Rh 0.000 0.500 0.654
Rh 0.500 0.000 0.346
Rh 0.500 0.500 0.000



! Tb2CrAg | Alexandria via LeMat-Bulk | PBE | optimized geometry; values from VASP
! Mass density   8.4 g cm⁻³
! DFT formation energy   0.042 eV per atom
! Space-group type   P4/mmm (123)
! Calculated volume   23.687 Å³ per atom
! Total DFT energy (no corrections)   -21.57 eV/f.u.
&SYSTEM
  ibrav = 0, nat = 4, ntyp = 3
/
ATOMIC_SPECIES
Tb 158.93 Tb.upf
Cr 52.00 Cr.upf
Ag 107.87 Ag.upf
CELL_PARAMETERS angstrom
3.622 0.000 0.000
0.000 3.622 0.000
0.000 0.000 7.224
ATOMIC_POSITIONS crystal
Tb 0.000 0.000 0.242
Tb 0.000 0.000 0.758
Cr 0.500 0.500 0.000
Ag 0.500 0.500 0.500



! LuPuInAu | Alexandria via LeMat-Bulk | PBE | optimized geometry; values from VASP
! Mass density   12.2 g cm⁻³
! DFT formation energy   -0.378 eV per atom
! Space-group type   F-43m (216)
! Calculated volume   24.897 Å³ per atom
! Total DFT energy (no corrections)   -26.38 eV/f.u.
&SYSTEM
  ibrav = 0, nat = 16, ntyp = 4
/
ATOMIC_SPECIES
Lu 174.97 Lu.upf
Pu 244.00 Pu.upf
In 114.82 In.upf
Au 196.97 Au.upf
CELL_PARAMETERS angstrom
7.358 0.000 0.000
0.000 7.358 0.000
0.000 0.000 7.358
ATOMIC_POSITIONS crystal
Lu 0.000 0.000 0.000
Lu 0.000 0.500 0.500
Lu 0.500 0.000 0.500
Lu 0.500 0.500 0.000
Pu 0.000 0.000 0.500
Pu 0.000 0.500 0.000
Pu 0.500 0.000 0.000
Pu 0.500 0.500 0.500
In 0.250 0.250 0.250
In 0.250 0.750 0.750
In 0.750 0.250 0.750
In 0.750 0.750 0.250
Au 0.250 0.250 0.750
Au 0.250 0.750 0.250
Au 0.750 0.250 0.250
Au 0.750 0.750 0.750



! ScInI4 | Alexandria via LeMat-Bulk | PBE | optimized geometry; values from VASP
! Mass density   4.5 g cm⁻³
! Uncorrected formation energy   -5.5 eV/f.u.
! Space-group type   C2/c (15)
! Calculated volume   41.504 Å³ per atom
! Total DFT energy (no corrections)   -20.77 eV/f.u.
&SYSTEM
  ibrav = 0, nat = 12, ntyp = 3
/
ATOMIC_SPECIES
Sc 44.96 Sc.upf
In 114.82 In.upf
I 126.90 I.upf
CELL_PARAMETERS angstrom
8.771 -3.627 0.000
8.771 3.627 0.000
-1.808 0.000 7.829
ATOMIC_POSITIONS crystal
Sc 0.000 0.500 0.000
Sc 0.500 0.000 0.500
In 0.239 0.761 0.750
In 0.761 0.239 0.250
I 0.128 0.254 0.669
I 0.254 0.128 0.169
I 0.305 0.497 0.041
I 0.497 0.305 0.541
I 0.503 0.695 0.459
I 0.695 0.503 0.959
I 0.746 0.872 0.831
I 0.872 0.746 0.331



! BaLa2Co | Alexandria via LeMat-Bulk | PBE | optimized geometry; values from VASP
! Mass density   5.3 g cm⁻³
! DFT formation energy   -0.068 eV per atom
! Space-group type   P-3m1 (164)
! Calculated volume   36.923 Å³ per atom
! Total DFT energy (no corrections)   -19.16 eV/f.u.
&SYSTEM
  ibrav = 0, nat = 4, ntyp = 3
/
ATOMIC_SPECIES
Ba 137.33 Ba.upf
La 138.91 La.upf
Co 58.93 Co.upf
CELL_PARAMETERS angstrom
4.145 0.000 0.000
-2.073 3.590 0.000
0.000 0.000 9.925
ATOMIC_POSITIONS crystal
Ba 0.000 0.000 0.000
La 0.333 0.667 0.645
La 0.667 0.333 0.355
Co 0.000 0.000 0.500



! PaTlI2 | Alexandria via LeMat-Bulk | PBE | optimized geometry; values from VASP
! Mass density   8.1 g cm⁻³
! Uncorrected formation energy   -1.9 eV/f.u.
! Space-group type   R-3m (166)
! Calculated volume   35.432 Å³ per atom
! Total DFT energy (no corrections)   -16.85 eV/f.u.
&SYSTEM
  ibrav = 0, nat = 12, ntyp = 3
/
ATOMIC_SPECIES
Pa 231.04 Pa.upf
Tl 204.38 Tl.upf
I 126.90 I.upf
CELL_PARAMETERS angstrom
3.748 0.000 0.000
-1.874 3.246 0.000
0.000 0.000 34.958
ATOMIC_POSITIONS crystal
Pa 0.000 0.000 0.000
Pa 0.333 0.667 0.667
Pa 0.667 0.333 0.333
Tl 0.000 0.000 0.500
Tl 0.333 0.667 0.167
Tl 0.667 0.333 0.833
I 0.000 0.000 0.398
I 0.000 0.000 0.602
I 0.333 0.667 0.065
I 0.333 0.667 0.269
I 0.667 0.333 0.731
I 0.667 0.333 0.935



! GeH3Os | Alexandria via LeMat-Bulk | PBE | optimized geometry; values from VASP
! Mass density   9.6 g cm⁻³
! Space-group type   Pm-3m (221)
! Calculated volume   9.165 Å³ per atom
! Total DFT energy (no corrections)   -23.39 eV/f.u.
&SYSTEM
  ibrav = 0, nat = 5, ntyp = 3
/
ATOMIC_SPECIES
Ge 72.64 Ge.upf
H 1.01 H.upf
Os 190.23 Os.upf
CELL_PARAMETERS angstrom
3.579 0.000 0.000
0.000 3.579 0.000
0.000 0.000 3.579
ATOMIC_POSITIONS crystal
Ge 0.000 0.000 0.000
H 0.000 0.500 0.500
H 0.500 0.000 0.500
H 0.500 0.500 0.000
Os 0.500 0.500 0.500



! PRuW2 | Alexandria via LeMat-Bulk | PBE | optimized geometry; values from VASP
! Mass density   14.3 g cm⁻³
! DFT formation energy   -0.019 eV per atom
! Space-group type   P4mm (99)
! Calculated volume   14.474 Å³ per atom
! Total DFT energy (no corrections)   -40.67 eV/f.u.
&SYSTEM
  ibrav = 0, nat = 4, ntyp = 3
/
ATOMIC_SPECIES
P 30.97 P.upf
Ru 101.07 Ru.upf
W 183.84 W.upf
CELL_PARAMETERS angstrom
2.895 0.000 0.000
0.000 2.895 0.000
0.000 0.000 6.909
ATOMIC_POSITIONS crystal
P 0.000 0.000 0.000
Ru 0.500 0.500 0.219
W 0.000 0.000 0.488
W 0.500 0.500 0.791



Repeat the second record exactly.
! Tb2CrAg | Alexandria via LeMat-Bulk | PBE | optimized geometry; values from VASP
! Mass density   8.4 g cm⁻³
! DFT formation energy   0.042 eV per atom
! Space-group type   P4/mmm (123)
! Calculated volume   23.687 Å³ per atom
! Total DFT energy (no corrections)   -21.57 eV/f.u.
&SYSTEM
  ibrav = 0, nat = 4, ntyp = 3
/
ATOMIC_SPECIES
Tb 158.93 Tb.upf
Cr 52.00 Cr.upf
Ag 107.87 Ag.upf
CELL_PARAMETERS angstrom
3.622 0.000 0.000
0.000 3.622 0.000
0.000 0.000 7.224
ATOMIC_POSITIONS crystal
Tb 0.000 0.000 0.242
Tb 0.000 0.000 0.758
Cr 0.500 0.500 0.000
Ag 0.500 0.500 0.500